## PrAg (PBE)

Data for a relaxed structure of PrAg.

It has space group P2_1/m (No. 11), with a = 3.9651 Å, b = 4.9336 Å, c = 5.9663 Å, α = 90.00°, β = 107.17° and γ = 90.00°. The asymmetric unit holds Pr at (0.1340, 0.2500, 0.2853) and Ag at (0.4323, 0.2500, 0.8483).

For the total energy, the calculation gives -4.05 eV per atom. The value obtained for the density of states at the Fermi level is 3.61 states/eV per cell.

---

## PrAg (PBE)

Data for a relaxed structure of PrAg.

It has space group Fm-3m (No. 225), with a = 6.2708 Å, b = 6.2708 Å, c = 6.2708 Å, α = 90.00°, β = 90.00° and γ = 90.00°. The asymmetric unit holds Pr at (0.0000, 0.0000, 0.0000) and Ag at (0.0000, 0.0000, 0.5000).

For the total energy, the calculation gives -3.82 eV per atom. The value obtained for the density of states at the Fermi level is 11.49 states/eV per cell.

---

## Pr4Ag3 (PBE)

Data for a relaxed structure of Pr4Ag3.

It has space group R-3m (No. 166, hexagonal axes), with a = 5.3052 Å, b = 5.3052 Å, c = 25.7109 Å, α = 90.00°, β = 90.00° and γ = 120.00°. The asymmetric unit holds Pr at (0.0000, 0.0000, 0.1221), Pr at (0.0000, 0.0000, 0.3729), Ag at (0.0000, 0.0000, 0.2490) and Ag at (0.0000, 0.0000, 0.5000).

For the total energy, the calculation gives -4.05 eV per atom. The calculation puts the energy above the most stable polymorph in this dataset at 58.3 meV per atom. The value obtained for the density of states at the Fermi level is 28.23 states/eV per cell.

---

## PrAg3 (PBE)

Data for a relaxed structure of PrAg3.

It has space group Pmm2 (No. 25), with a = 3.2498 Å, b = 4.7042 Å, c = 5.9966 Å, α = 90.00°, β = 90.00° and γ = 90.00°. The asymmetric unit holds Pr at (0.0000, 0.0000, 0.0000), Ag at (0.0000, 0.5000, 0.6361), Ag at (0.5000, 0.0000, 0.5170) and Ag at (0.5000, 0.5000, 0.2389).

For the total energy, the calculation gives -3.36 eV per atom. The value obtained for the density of states at the Fermi level is 2.36 states/eV per cell.

---

## Pr3Ag2 (PBE)

Data for a relaxed structure of Pr3Ag2.

It has space group P4/mmm (No. 123), with a = 3.7548 Å, b = 3.7548 Å, c = 20.5140 Å, α = 90.00°, β = 90.00° and γ = 90.00°. The asymmetric unit holds Pr at (0.0000, 0.0000, 0.0000), Pr at (0.0000, 0.0000, 0.1878), Pr at (0.0000, 0.0000, 0.3742), Pr at (0.5000, 0.5000, 0.5000), Ag at (0.5000, 0.5000, 0.0940) and Ag at (0.5000, 0.5000, 0.2808).

For the total energy, the calculation gives -4.20 eV per atom. The calculation puts the energy above the most stable polymorph in this dataset at 0.0 meV per atom. The value obtained for the density of states at the Fermi level is 10.08 states/eV per cell.

---

## Pr4Ag3 (PBE)

Data for a relaxed structure of Pr4Ag3.

It has space group R-3 (No. 148, hexagonal axes), with a = 14.3291 Å, b = 14.3291 Å, c = 6.6325 Å, α = 90.00°, β = 90.00° and γ = 120.00°. The asymmetric unit holds Pr at (0.0000, 0.0000, 0.0000), Pr at (0.0000, 0.0000, 0.5000), Pr at (0.0510, 0.8009, 0.1741) and Ag at (0.0488, 0.8187, 0.6902).

For the total energy, the calculation gives -4.11 eV per atom. The calculation puts the energy above the most stable polymorph in this dataset at 0.0 meV per atom. The value obtained for the density of states at the Fermi level is 48.72 states/eV per cell.

---

## PrAg2 (PBE)

Data for a relaxed structure of PrAg2.

It has space group Fd-3m (No. 227, origin choice 2), with a = 8.2286 Å, b = 8.2286 Å, c = 8.2286 Å, α = 90.00°, β = 90.00° and γ = 90.00°. The asymmetric unit holds Pr at (0.1250, 0.1250, 0.1250) and Ag at (0.0000, 0.0000, 0.5000).

For the total energy, the calculation gives -3.64 eV per atom. The value obtained for the density of states at the Fermi level is 20.23 states/eV per cell.

---

## PrAg6 (PBE)

Data for a relaxed structure of PrAg6.

It has space group Pm-3m (No. 221), with a = 6.3729 Å, b = 6.3729 Å, c = 6.3729 Å, α = 90.00°, β = 90.00° and γ = 90.00°. The asymmetric unit holds Pr at (0.0000, 0.0000, 0.0000) and Ag at (0.1982, 0.5000, 0.5000).

For the total energy, the calculation gives -2.24 eV per atom. The calculation puts the energy above the most stable polymorph in this dataset at 1016.1 meV per atom. The value obtained for the density of states at the Fermi level is 8.17 states/eV per cell.

---

## Pr13Ag2 (PBE)

Data for a relaxed structure of Pr13Ag2.

It has space group P-1 (No. 2), with a = 6.6049 Å, b = 8.7355 Å, c = 9.6445 Å, α = 68.64°, β = 78.60° and γ = 81.77°. The asymmetric unit holds Pr at (0.0000, 0.0000, 0.0000), Pr at (0.0501, 0.4202, 0.7005), Pr at (0.2085, 0.1770, 0.2336), Pr at (0.2498, 0.5961, 0.9496), Pr at (0.2828, 0.9892, 0.6454), Pr at (0.4644, 0.3717, 0.4133), Pr at (0.4750, 0.7956, 0.1577) and Ag at (0.1266, 0.7880, 0.4532).

For the total energy, the calculation gives -4.55 eV per atom. The value obtained for the density of states at the Fermi level is 19.80 states/eV per cell.

---

## PrAg5 (PBE)

Data for a relaxed structure of PrAg5.

It has space group Cmmm (No. 65), with a = 4.9041 Å, b = 14.3643 Å, c = 3.5726 Å, α = 90.00°, β = 90.00° and γ = 90.00°. The asymmetric unit holds Pr at (0.0000, 0.0000, 0.0000), Ag at (0.0000, 0.1854, 0.5000), Ag at (0.0000, 0.3404, 0.0000) and Ag at (0.0000, 0.5000, 0.5000).

For the total energy, the calculation gives -3.19 eV per atom. The value obtained for the density of states at the Fermi level is 4.92 states/eV per cell.

---

## PrAg4 (PBE)

Data for a relaxed structure of PrAg4.

It has space group Pm-3m (No. 221), with a = 5.6488 Å, b = 5.6488 Å, c = 5.6488 Å, α = 90.00°, β = 90.00° and γ = 90.00°. The asymmetric unit holds Pr at (0.0000, 0.0000, 0.0000), Ag at (0.0000, 0.0000, 0.5000) and Ag at (0.5000, 0.5000, 0.5000).

For the total energy, the calculation gives -2.18 eV per atom. The value obtained for the density of states at the Fermi level is 1.77 states/eV per cell.

---

## PrAg4 (PBE)

Data for a relaxed structure of PrAg4.

It has space group I4/mmm (No. 139), with a = 4.1556 Å, b = 4.1556 Å, c = 13.0630 Å, α = 90.00°, β = 90.00° and γ = 90.00°. The asymmetric unit holds Pr at (0.0000, 0.0000, 0.0000), Ag at (0.0000, 0.0000, 0.3956) and Ag at (0.0000, 0.5000, 0.2500).

For the total energy, the calculation gives -3.34 eV per atom. The value obtained for the density of states at the Fermi level is 5.77 states/eV per cell.

---

## Pr5Ag (PBE)

Data for a relaxed structure of Pr5Ag.

It has space group Cmmm (No. 65), with a = 4.9737 Å, b = 15.5646 Å, c = 5.0825 Å, α = 90.00°, β = 90.00° and γ = 90.00°. The asymmetric unit holds Pr at (0.0000, 0.0000, 0.0000), Pr at (0.0000, 0.1628, 0.5000), Pr at (0.0000, 0.3330, 0.0000) and Ag at (0.0000, 0.5000, 0.5000).

For the total energy, the calculation gives -4.43 eV per atom. The calculation puts the energy above the most stable polymorph in this dataset at 82.0 meV per atom. The value obtained for the density of states at the Fermi level is 16.71 states/eV per cell.

---

## Pr3Ag4 (PBE)

Data for a relaxed structure of Pr3Ag4.

It has space group R-3m (No. 166, hexagonal axes), with a = 5.2233 Å, b = 5.2233 Å, c = 26.0132 Å, α = 90.00°, β = 90.00° and γ = 120.00°. The asymmetric unit holds Pr at (0.0000, 0.0000, 0.0000), Pr at (0.0000, 0.0000, 0.2411), Ag at (0.0000, 0.0000, 0.1205) and Ag at (0.0000, 0.0000, 0.3675).

For the total energy, the calculation gives -3.72 eV per atom. The calculation puts the energy above the most stable polymorph in this dataset at 189.8 meV per atom. The value obtained for the density of states at the Fermi level is 18.38 states/eV per cell.

---

## Pr2Ag3 (PBE)

Data for a relaxed structure of Pr2Ag3.

It has space group Cmcm (No. 63), with a = 3.6674 Å, b = 28.8196 Å, c = 4.8558 Å, α = 90.00°, β = 90.00° and γ = 90.00°. The asymmetric unit holds Pr at (0.0000, 0.0728, 0.2500), Pr at (0.0000, 0.2084, 0.7500), Ag at (0.0000, 0.3275, 0.7500), Ag at (0.0000, 0.3813, 0.2500) and Ag at (0.0000, 0.4770, 0.2500).

For the total energy, the calculation gives -3.86 eV per atom. The calculation puts the energy above the most stable polymorph in this dataset at 0.0 meV per atom. The value obtained for the density of states at the Fermi level is 17.69 states/eV per cell.

---

## Pr5Ag (PBE)

Data for a relaxed structure of Pr5Ag.

It has space group I4/mcm (No. 140), with a = 8.0189 Å, b = 8.0189 Å, c = 12.7147 Å, α = 90.00°, β = 90.00° and γ = 90.00°. The asymmetric unit holds Pr at (0.0000, 0.0000, 0.0000), Pr at (0.1545, 0.3455, 0.1409) and Ag at (0.0000, 0.0000, 0.2500).

For the total energy, the calculation gives -4.34 eV per atom. The calculation puts the energy above the most stable polymorph in this dataset at 175.1 meV per atom. The value obtained for the density of states at the Fermi level is 41.51 states/eV per cell.

---

## PrAg3 (PBE)

Data for a relaxed structure of PrAg3.

It has space group I4/mmm (No. 139), with a = 5.0598 Å, b = 5.0598 Å, c = 7.0739 Å, α = 90.00°, β = 90.00° and γ = 90.00°. The asymmetric unit holds Pr at (0.0000, 0.0000, 0.0000), Ag at (0.0000, 0.0000, 0.5000) and Ag at (0.0000, 0.5000, 0.2500).

For the total energy, the calculation gives -3.51 eV per atom. The value obtained for the density of states at the Fermi level is 3.99 states/eV per cell.

---

## Pr7Ag3 (PBE)

Data for a relaxed structure of Pr7Ag3.

It has space group P6_3mc (No. 186), with a = 10.5558 Å, b = 10.5558 Å, c = 6.5576 Å, α = 90.00°, β = 90.00° and γ = 120.00°. The asymmetric unit holds Pr at (0.0690, 0.5345, 0.0000), Pr at (0.1261, 0.2522, 0.7241), Pr at (0.3333, 0.6667, 0.5618) and Ag at (0.1937, 0.3874, 0.2823).

For the total energy, the calculation gives -4.31 eV per atom. The value obtained for the density of states at the Fermi level is 24.71 states/eV per cell.

---

## Pr3Ag4 (PBE)

Data for a relaxed structure of Pr3Ag4.

It has space group R-3 (No. 148, hexagonal axes), with a = 14.2054 Å, b = 14.2054 Å, c = 6.2871 Å, α = 90.00°, β = 90.00° and γ = 120.00°. The asymmetric unit holds Pr at (0.0448, 0.8290, 0.2225), Ag at (0.0000, 0.0000, 0.0000), Ag at (0.0000, 0.0000, 0.5000) and Ag at (0.0575, 0.7838, 0.7104).

For the total energy, the calculation gives -3.91 eV per atom. The calculation puts the energy above the most stable polymorph in this dataset at 0.0 meV per atom. The value obtained for the density of states at the Fermi level is 31.05 states/eV per cell.

---

## Pr4Ag (PBE)

Data for a relaxed structure of Pr4Ag.

It has space group Pm-3m (No. 221), with a = 5.8051 Å, b = 5.8051 Å, c = 5.8051 Å, α = 90.00°, β = 90.00° and γ = 90.00°. The asymmetric unit holds Pr at (0.0000, 0.0000, 0.0000), Pr at (0.0000, 0.5000, 0.5000) and Ag at (0.5000, 0.5000, 0.5000).

For the total energy, the calculation gives -4.14 eV per atom. The calculation puts the energy above the most stable polymorph in this dataset at 259.7 meV per atom. The value obtained for the density of states at the Fermi level is 7.61 states/eV per cell.